DFT (PBE-GGA) results for an optimized crystal structure of CsSmB.

```
3
Lattice="-2.036 -3.353 2.983 1.814 -4.579 0.161 2.436 -1.546 3.995" Properties=species:S:1:pos:R:3 pbc="T T T"
B 1.660 -7.109 5.354
Cs 0.000 0.000 0.000
Sm 0.553 -2.370 1.785
```

Output
- volume (Å³/cell) = 85
- crystal system = cubic
- magnetic moment (μB per formula unit) = 0.00
- DFT total energy (eV per atom) = -2.259
- calculated density (kg/m3) = 5771